DFT (GGA-PBE) results for an optimized crystal structure of CsLi3Pa4O12.

POSCAR file:
```
CsLi3Pa4O12
1.0
7.223 0.000 0.000
-2.408 6.810 0.000
-2.408 -3.405 5.897
Cs Li Pa O
1 3 4 12
direct
0.000 0.000 0.000
0.000 0.500 0.500
0.500 0.500 0.000
0.500 0.000 0.500
0.500 0.000 0.000
0.500 0.500 0.500
0.000 0.500 0.000
0.000 0.000 0.500
0.308 0.812 0.120
0.692 0.188 0.880
0.692 0.812 0.504
0.880 0.692 0.188
0.812 0.120 0.308
0.188 0.496 0.308
0.496 0.308 0.188
0.188 0.880 0.692
0.308 0.188 0.496
0.120 0.308 0.812
0.812 0.504 0.692
0.504 0.692 0.812
```

Symmetry = Im-3
Total DFT energy (no corrections) = -165.38 eV/f.u.
Total moment = 0.00 μB/f.u.
Theoretical density = 7.27 g/cm3
Raw formation energy = -61.30 eV/f.u.
Fermi-level density of states = 0.000 states/eV per atom

=====

DFT (GGA-PBE) results for an optimized crystal structure of CsLi2Pa2O7.

POSCAR file:
```
CsLi2Pa2O7
1.0
-2.897 -0.369 -3.302
2.253 -3.439 -1.593
-4.773 -3.797 7.560
Cs Li Pa O
1 2 2 7
direct
0.000 0.000 0.000
0.251 0.749 0.500
0.749 0.251 0.500
0.378 0.378 0.757
0.622 0.622 0.243
0.375 0.875 0.750
0.732 0.732 0.463
0.125 0.625 0.250
0.625 0.125 0.250
0.268 0.268 0.537
0.875 0.375 0.750
0.500 0.500 0.000
```

Symmetry = C2/m
Total DFT energy (no corrections) = -91.47 eV/f.u.
Total moment = 0.00 μB/f.u.
Theoretical density = 6.70 g/cm3
Raw formation energy = -33.09 eV/f.u.
Fermi-level density of states = 0.578 states/eV per atom

=====

DFT (GGA-PBE) results for an optimized crystal structure of CsLiPaO4.

POSCAR file:
```
CsLiPaO4
1.0
0.428 5.443 0.874
-4.255 0.937 -3.753
-5.590 -5.435 4.980
Cs Li Pa O
2 2 2 8
direct
0.647 0.750 0.916
0.353 0.250 0.084
0.165 0.750 0.328
0.835 0.250 0.672
0.764 0.750 0.458
0.236 0.250 0.542
0.065 0.494 0.657
0.935 0.994 0.343
0.935 0.506 0.343
0.065 0.006 0.657
0.389 0.750 0.221
0.611 0.250 0.779
0.524 0.750 0.564
0.476 0.250 0.436
```

Symmetry = P2_1/m
Total DFT energy (no corrections) = -49.30 eV/f.u.
Total moment = 0.24 μB/f.u.
Theoretical density = 5.83 g/cm3
Raw formation energy = -17.21 eV/f.u.
Fermi-level density of states = 0.476 states/eV per atom

=====

DFT (GGA-PBE) results for an optimized crystal structure of Cs4LiPb4O6.

POSCAR file:
```
Cs4LiPb4O6
1.0
4.343 6.855 0.004
-4.343 6.855 0.004
0.000 6.172 6.893
Cs Li Pb O
4 1 4 6
direct
0.024 0.513 0.730
0.444 0.957 0.796
0.487 0.976 0.270
0.043 0.556 0.204
0.774 0.226 0.500
0.475 0.467 0.768
0.030 0.039 0.207
0.533 0.525 0.232
0.961 0.970 0.793
0.252 0.753 0.734
0.247 0.748 0.266
0.564 0.436 0.500
0.986 0.014 0.000
0.257 0.252 0.991
0.748 0.743 0.009
```

ΔE to the lowest computed polymorph = 69.8 meV per atom
Symmetry = C2
Total DFT energy (no corrections) = -66.42 eV/f.u.
Total moment = 0.00 μB/f.u.
Theoretical density = 5.92 g/cm3
Raw formation energy = -16.51 eV/f.u.
Fermi-level density of states = 0.226 states/eV per atom

=====

DFT (GGA-PBE) results for an optimized crystal structure of CsLiPbO3.

POSCAR file:
```
CsLiPbO3
1.0
-2.463 1.861 -1.750
-2.827 -6.737 -3.185
-3.622 1.882 7.100
Cs Li Pb O
2 2 2 6
direct
0.250 0.223 0.264
0.750 0.777 0.736
0.250 0.080 0.594
0.750 0.920 0.406
0.250 0.682 0.150
0.750 0.318 0.850
0.750 0.854 0.142
0.250 0.146 0.858
0.250 0.823 0.431
0.750 0.177 0.569
0.750 0.481 0.139
0.250 0.519 0.861
```

Symmetry = P2_1/m
Total DFT energy (no corrections) = -29.28 eV/f.u.
Total moment = 0.00 μB/f.u.
Theoretical density = 6.13 g/cm3
Raw formation energy = -7.93 eV/f.u.

=====

DFT (GGA-PBE) results for an optimized crystal structure of Cs4LiPb4O6.

POSCAR file:
```
Cs4LiPb4O6
1.0
-2.637 -0.440 -7.588
3.558 -6.203 -3.687
-4.643 -6.933 -2.868
Cs Li Pb O
4 1 4 6
direct
0.960 0.465 0.794
0.459 0.024 0.756
0.535 0.040 0.206
0.976 0.541 0.244
0.292 0.708 0.500
0.449 0.497 0.781
0.032 0.028 0.224
0.503 0.551 0.219
0.972 0.968 0.776
0.229 0.754 0.714
0.246 0.771 0.286
0.498 0.502 0.500
0.995 0.005 0.000
0.241 0.263 0.007
0.737 0.759 0.993
```

ΔE to the lowest computed polymorph = 0.0 meV per atom
Symmetry = C2
Total DFT energy (no corrections) = -67.46 eV/f.u.
Total moment = 0.00 μB/f.u.
Theoretical density = 5.87 g/cm3
Raw formation energy = -17.55 eV/f.u.
Fermi-level density of states = 0.283 states/eV per atom

=====

DFT (GGA-PBE) results for an optimized crystal structure of CsLiPdO2.

POSCAR file:
```
CsLiPdO2
1.0
-1.616 2.941 1.896
-1.449 -4.109 5.138
6.811 3.530 0.328
Cs Li Pd O
2 2 2 4
direct
0.001 0.750 0.500
0.999 0.250 0.500
0.000 0.000 0.000
0.000 0.500 0.000
0.500 0.750 0.000
0.500 0.250 0.000
0.500 0.909 0.819
0.500 0.591 0.181
0.500 0.409 0.819
0.500 0.091 0.181
```

Symmetry = Cmme
Total DFT energy (no corrections) = -22.72 eV/f.u.
Total moment = 0.00 μB/f.u.
Theoretical density = 5.16 g/cm3
Raw formation energy = -4.85 eV/f.u.

=====

DFT (GGA-PBE) results for an optimized crystal structure of Cs2LiPu2O7.

POSCAR file:
```
Cs2LiPu2O7
1.0
-3.457 -1.948 -1.635
0.150 -2.911 3.150
-8.734 4.486 7.488
Cs Li Pu O
2 1 2 7
direct
0.812 0.812 0.376
0.188 0.188 0.624
0.000 0.000 0.000
0.586 0.586 0.827
0.414 0.414 0.173
0.500 0.500 0.000
0.331 0.331 0.337
0.669 0.669 0.663
0.917 0.417 0.165
0.417 0.917 0.165
0.583 0.083 0.835
0.083 0.583 0.835
```

Symmetry = I4/mmm
Total DFT energy (no corrections) = -94.74 eV/f.u.
Total moment = 5.00 μB/f.u.
Theoretical density = 6.57 g/cm3
Raw formation energy = -27.74 eV/f.u.
Fermi-level density of states = 0.657 states/eV per atom

=====

Q: Which value of total DFT energy (no corrections) does entry 2 give?
A: -91.47 eV/f.u.